A relaxed ScTl2RuO crystal, computed with GGA-PBE.

Computed properties:
Final energy   -5.158 eV/atom
V   20.8 A^3/atom

Structure (CIF):
```
data_ScTl2RuO
_chemical_formula_sum 'Sc1 Tl2 Ru1 O1'
_cell_length_a 5.274
_cell_length_b 5.274
_cell_length_c 3.743
_cell_angle_alpha 90.00
_cell_angle_beta 90.00
_cell_angle_gamma 90.00
_space_group_name_H-M_alt 'P 4/m m m'
_space_group_IT_number 123
_space_group_name_Hall '-P 4 2'
loop_
_atom_site_label
_atom_site_type_symbol
_atom_site_fract_x
_atom_site_fract_y
_atom_site_fract_z
Sc1 Sc 0.000 0.000 0.000
Tl1 Tl 0.000 0.500 0.500
Ru1 Ru 0.500 0.500 0.000
O1 O 0.500 0.500 0.500
```

---

A relaxed BaMnAs crystal, computed with GGA-PBE.

Computed properties:
ΔH_f (0 K)   -387 meV/atom
V   27.6 A^3/atom

Structure (CIF):
```
data_BaMnAs
_chemical_formula_sum 'Ba4 Mn4 As4'
_cell_length_a 4.253
_cell_length_b 8.187
_cell_length_c 9.518
_cell_angle_alpha 90.00
_cell_angle_beta 90.00
_cell_angle_gamma 90.00
_space_group_name_H-M_alt 'I m m m'
_space_group_IT_number 71
_space_group_name_Hall '-I 2 2'
loop_
_atom_site_label
_atom_site_type_symbol
_atom_site_fract_x
_atom_site_fract_y
_atom_site_fract_z
Ba1 Ba 0.000 0.000 0.214
Mn1 Mn 0.000 0.385 0.000
As1 As 0.000 0.242 0.500
```

---

A relaxed InRu2Se crystal, computed with GGA-PBE.

Computed properties:
E above lowest polymorph   388 meV per atom
V   17.1 A^3/atom

Structure (CIF):
```
data_InRu2Se
_chemical_formula_sum 'In2 Ru4 Se2'
_cell_length_a 5.976
_cell_length_b 8.648
_cell_length_c 3.026
_cell_angle_alpha 90.00
_cell_angle_beta 119.14
_cell_angle_gamma 90.00
_space_group_name_H-M_alt 'C 1 2/m 1'
_space_group_IT_number 12
loop_
_space_group_symop_operation_xyz
'x,y,z'
'-x,-y,-z'
'-x,y,-z'
'x,-y,z'
'x+1/2,y+1/2,z'
'-x+1/2,-y+1/2,-z'
'-x+1/2,y+1/2,-z'
'x+1/2,-y+1/2,z'
loop_
_atom_site_label
_atom_site_type_symbol
_atom_site_fract_x
_atom_site_fract_y
_atom_site_fract_z
In1 In 0.000 0.000 0.000
Ru1 Ru 0.250 0.250 0.500
Se1 Se 0.000 0.500 0.000
```

---

A relaxed LiScSb2 crystal, computed with GGA-PBE.

Computed properties:
E above lowest polymorph   461 meV per atom
V   23.5 A^3/atom

Structure (CIF):
```
data_LiScSb2
_chemical_formula_sum 'Li4 Sc4 Sb8'
_cell_length_a 7.218
_cell_length_b 7.218
_cell_length_c 7.218
_cell_angle_alpha 90.00
_cell_angle_beta 90.00
_cell_angle_gamma 90.00
_space_group_name_H-M_alt 'F -4 3 m'
_space_group_IT_number 216
_space_group_name_Hall 'F -4 2 3'
loop_
_atom_site_label
_atom_site_type_symbol
_atom_site_fract_x
_atom_site_fract_y
_atom_site_fract_z
Li1 Li 0.000 0.000 0.000
Sc1 Sc 0.250 0.250 0.750
Sb1 Sb 0.000 0.000 0.500
Sb2 Sb 0.250 0.250 0.250
```

---

A relaxed NdTiTcGe2 crystal, computed with GGA-PBE.

Computed properties:
ΔH_f (0 K)   -650 meV/atom
V   19.1 A^3/atom

Structure (CIF):
```
data_NdTiTcGe2
_chemical_formula_sum 'Nd2 Ti2 Tc2 Ge4'
_cell_length_a 4.038
_cell_length_b 4.038
_cell_length_c 11.687
_cell_angle_alpha 90.00
_cell_angle_beta 90.00
_cell_angle_gamma 90.00
_space_group_name_H-M_alt 'I -4 m 2'
_space_group_IT_number 119
_space_group_name_Hall 'I -4 -2'
loop_
_atom_site_label
_atom_site_type_symbol
_atom_site_fract_x
_atom_site_fract_y
_atom_site_fract_z
Nd1 Nd 0.000 0.000 0.000
Ti1 Ti 0.000 0.500 0.750
Tc1 Tc 0.000 0.500 0.250
Ge1 Ge 0.000 0.000 0.389
```

---

Q: Which formula does entry 3 have?
A: InRu2Se

---

Q: Which value of V does entry 2 give?
A: 27.6 A^3/atom

---

Q: What is the V in the third record?
A: 17.1 A^3/atom